Entry from the Alexandria database: a relaxed structure of ScMnZnO4 (PBE+U).

Cell lengths 6.0228, 6.0614, 6.0614 Å; angles 61.27, 60.21, 60.21 degrees
Closest atoms and distances in Å follow each position.
Fractional coordinates of all 14 atoms:
Sc 0.0000 0.0000 0.0000  6 O 2.10-2.12
Sc 0.0000 0.5000 0.5000  6 O 2.10-2.12
Mn 0.5000 0.0000 0.5000  6 O 1.99-2.04
Mn 0.0000 0.0000 0.5000  6 O 1.99-2.04
Zn 0.6224 0.6276 0.1276  4 O 1.99-2.04
Zn 0.3776 0.3724 0.8724  4 O 1.99-2.04
O 0.7523 0.7759 0.7195  2 Mn 2.04, 1 Zn 2.04, 1 Sc 2.12
O 0.2477 0.7805 0.7241  2 Mn 2.04, 1 Zn 2.04, 1 Sc 2.12
O 0.7523 0.2195 0.2759  2 Mn 2.04, 1 Zn 2.04, 1 Sc 2.12
O 0.2477 0.2241 0.2805  2 Mn 2.04, 1 Zn 2.04, 1 Sc 2.12
O 0.2183 0.7661 0.2661  1 Zn 1.99, 1 Mn 1.99, 2 Sc 2.10
O 0.7496 0.7661 0.2661  1 Zn 1.99, 1 Mn 1.99, 2 Sc 2.10
O 0.2504 0.2339 0.7339  1 Zn 1.99, 1 Mn 1.99, 2 Sc 2.10
O 0.7817 0.2339 0.7339  1 Zn 1.99, 1 Mn 1.99, 2 Sc 2.10

The total energy is -0.519 Ry/atom. The crystal system is orthorhombic. As for the symmetry: Imma, No. 74.